[1]
This record from the Alexandria database describes an optimized crystal structure of La2Pr3Ho5. The functional is PBE.

Cell lengths 9.270, 9.272, 11.307 Å; angles 123.15, 123.15, 70.50 degrees
Atoms (fractional coordinates):
La 0.767 0.020 0.743
La 0.233 0.980 0.257
La 0.476 0.723 0.743
La 0.524 0.277 0.257
Pr 0.229 0.979 0.958
Pr 0.771 0.021 0.042
Pr 0.728 0.481 0.253
Pr 0.272 0.519 0.747
Pr 0.025 0.772 0.253
Pr 0.975 0.228 0.747
Ho 0.274 0.524 0.049
Ho 0.726 0.476 0.951
Ho 0.027 0.777 0.555
Ho 0.528 0.278 0.556
Ho 0.973 0.223 0.445
Ho 0.472 0.722 0.444
Ho 0.869 0.612 0.731
Ho 0.131 0.388 0.269
Ho 0.363 0.119 0.731
Ho 0.637 0.881 0.269

Computed properties:
formation energy from the elements	0.171	eV per atom
crystal system	monoclinic
space-group type	C2/c, No. 15


[2]
This record from the Alexandria database describes an optimized crystal structure of LaPrHo. The functional is PBE.

Cell lengths 3.684, 3.684, 8.143 Å; angles 103.07, 103.07, 90.00 degrees
Atoms (fractional coordinates):
Pr 0.003 0.003 0.006
Ho 0.666 0.666 0.332
La 0.331 0.331 0.662

Computed properties:
formation energy from the elements	0.030	eV per atom
crystal system	tetragonal
space-group type	I4mm, No. 107
distance to the lowest polymorph of the same formula	11	meV/atom


[3]
This record from the Alexandria database describes an optimized crystal structure of LaPr2Ho4. The functional is PBE.

Cell lengths 8.157, 7.838, 7.838 Å; angles 90.03, 90.17, 90.16 degrees
Each line ends with the local moment (μB).
Atoms (fractional coordinates):
Pr 0.000 0.000 0.000  0.01
Pr 0.000 0.000 0.500  0.01
Pr 0.000 0.500 0.500  0.01
Pr 0.500 0.000 0.500  0.10
Ho 0.280 0.251 0.252  0.06
Ho 0.720 0.248 0.250  0.06
Ho 0.280 0.752 0.750  0.06
Ho 0.720 0.749 0.748  0.06
Ho 0.720 0.751 0.251  0.06
Ho 0.720 0.249 0.749  0.06
Ho 0.280 0.751 0.251  0.06
Ho 0.280 0.249 0.749  0.06
La 0.500 0.500 0.000  0.15
La 0.000 0.500 0.000  0.03

Computed properties:
formation energy from the elements	0.322	eV per atom
crystal system	monoclinic
space-group type	C2/m, No. 12
distance to the lowest polymorph of the same formula	67	meV/atom


[4]
This record from the Alexandria database describes an optimized crystal structure of LaPr8Ho6. The functional is PBE.

Cell lengths 9.183, 9.183, 8.840 Å; angles 58.71, 58.71, 60.00 degrees
Atoms (fractional coordinates):
La 0.000 0.000 0.000
Pr 0.885 0.286 0.583
Pr 0.755 0.115 0.417
Pr 0.714 0.755 0.417
Pr 0.422 0.422 0.735
Pr 0.578 0.578 0.265
Pr 0.286 0.245 0.583
Pr 0.245 0.885 0.583
Pr 0.115 0.714 0.417
Ho 0.094 0.534 0.118
Ho 0.746 0.906 0.882
Ho 0.466 0.746 0.882
Ho 0.534 0.254 0.118
Ho 0.254 0.094 0.118
Ho 0.906 0.466 0.882

Computed properties:
formation energy from the elements	0.127	eV per atom
crystal system	trigonal
space-group type	R-3, No. 148


[5]
This record from the Alexandria database describes an optimized crystal structure of La3PrHo12. The functional is PBE.

Cell lengths 5.065, 5.065, 20.261 Å; angles 90.00, 90.00, 90.00 degrees
Atoms (fractional coordinates):
La 0.000 0.000 0.250
La 0.000 0.000 0.500
La 0.000 0.000 0.750
Pr 0.000 0.000 0.000
Ho 0.500 0.500 0.000
Ho 0.500 0.500 0.249
Ho 0.500 0.500 0.500
Ho 0.500 0.500 0.751
Ho 0.500 0.000 0.124
Ho 0.500 0.000 0.375
Ho 0.500 0.000 0.625
Ho 0.500 0.000 0.876
Ho 0.000 0.500 0.124
Ho 0.000 0.500 0.375
Ho 0.000 0.500 0.625
Ho 0.000 0.500 0.876

Computed properties:
formation energy from the elements	0.032	eV per atom
crystal system	tetragonal
space-group type	P4/mmm, No. 123


[6]
This record from the Alexandria database describes an optimized crystal structure of La6PrHo4. The functional is PBE.

Cell lengths 5.933, 5.763, 26.386 Å; angles 90.00, 90.00, 120.98 degrees
Atoms (fractional coordinates):
La 0.500 0.000 0.000
La 0.500 0.000 0.500
La 0.132 0.264 0.319
La 0.868 0.736 0.681
La 0.868 0.736 0.819
La 0.132 0.264 0.181
La 0.809 0.617 0.404
La 0.191 0.383 0.596
La 0.191 0.383 0.904
La 0.809 0.617 0.096
La 0.457 0.913 0.250
La 0.543 0.087 0.750
Pr 0.798 0.596 0.250
Pr 0.202 0.404 0.750
Ho 0.845 0.690 0.546
Ho 0.468 0.935 0.125
Ho 0.155 0.310 0.454
Ho 0.532 0.065 0.875
Ho 0.845 0.690 0.954
Ho 0.155 0.310 0.046
Ho 0.532 0.065 0.625
Ho 0.468 0.935 0.375

Computed properties:
formation energy from the elements	0.098	eV per atom
crystal system	orthorhombic
space-group type	Cmcm, No. 63


[7]
This record from the Alexandria database describes an optimized crystal structure of LaPr4Ho7. The functional is PBE.

Cell lengths 7.270, 6.317, 11.539 Å; angles 79.54, 51.06, 90.06 degrees
Atoms (fractional coordinates):
La 0.000 0.000 0.000
Pr 0.417 0.722 0.335
Pr 0.583 0.278 0.665
Pr 0.830 0.777 0.669
Pr 0.170 0.223 0.331
Ho 0.753 0.499 0.999
Ho 0.247 0.501 0.001
Ho 0.085 0.277 0.667
Ho 0.915 0.723 0.333
Ho 0.332 0.778 0.667
Ho 0.500 0.000 0.000
Ho 0.668 0.222 0.333

Computed properties:
formation energy from the elements	0.017	eV per atom
crystal system	triclinic
space-group type	P-1, No. 2
distance to the lowest polymorph of the same formula	0	meV/atom


[8]
This record from the Alexandria database describes an optimized crystal structure of La2PrHo2. The functional is PBE.

Cell lengths 10.730, 10.730, 8.236 Å; angles 130.65, 130.65, 90.00 degrees
Atoms (fractional coordinates):
La 0.891 0.391 0.000
La 0.109 0.609 0.000
La 0.609 0.891 0.000
La 0.391 0.109 0.000
Pr 0.750 0.750 0.500
Pr 0.250 0.250 0.500
Ho 0.310 0.810 0.000
Ho 0.690 0.190 0.000
Ho 0.190 0.310 0.000
Ho 0.810 0.690 0.000

Computed properties:
formation energy from the elements	0.436	eV per atom
crystal system	tetragonal
space-group type	I4/mcm, No. 140
distance to the lowest polymorph of the same formula	237	meV/atom


[9]
This record from the Alexandria database describes an optimized crystal structure of LaPr6Ho12. The functional is PBE.

Cell lengths 8.785, 8.785, 8.785 Å; angles 98.77, 98.77, 98.77 degrees
Atoms (fractional coordinates):
La 0.000 0.000 0.000
Pr 0.900 0.346 0.900
Pr 0.900 0.900 0.346
Pr 0.346 0.900 0.900
Pr 0.100 0.100 0.654
Pr 0.100 0.654 0.100
Pr 0.654 0.100 0.100
Ho 0.756 0.244 0.500
Ho 0.356 0.081 0.356
Ho 0.356 0.356 0.081
Ho 0.919 0.644 0.644
Ho 0.644 0.644 0.919
Ho 0.644 0.919 0.644
Ho 0.500 0.756 0.244
Ho 0.244 0.500 0.756
Ho 0.244 0.756 0.500
Ho 0.500 0.244 0.756
Ho 0.756 0.500 0.244
Ho 0.081 0.356 0.356

Computed properties:
formation energy from the elements	0.207	eV per atom
crystal system	trigonal
space-group type	R-3m, No. 166
distance to the lowest polymorph of the same formula	82	meV/atom


[10]
This record from the Alexandria database describes an optimized crystal structure of La2Pr6Ho5. The functional is PBE.

Cell lengths 3.682, 11.958, 20.695 Å; angles 90.00, 90.00, 90.00 degrees
Atoms (fractional coordinates):
La 0.000 0.334 0.283
La 0.000 0.666 0.717
La 0.000 0.834 0.217
La 0.000 0.166 0.783
Pr 0.000 0.080 0.364
Pr 0.000 0.920 0.636
Pr 0.000 0.580 0.136
Pr 0.000 0.420 0.864
Pr 0.500 0.322 0.125
Pr 0.500 0.678 0.875
Pr 0.500 0.822 0.375
Pr 0.500 0.178 0.625
Pr 0.000 0.558 0.423
Pr 0.000 0.442 0.577
Pr 0.000 0.058 0.077
Pr 0.000 0.942 0.923
Ho 0.500 0.299 0.445
Ho 0.500 0.701 0.555
Ho 0.500 0.799 0.055
Ho 0.500 0.201 0.945
Ho 0.500 0.595 0.278
Ho 0.500 0.405 0.722
Ho 0.500 0.095 0.222
Ho 0.500 0.905 0.778
Ho 0.500 0.500 0.000
Ho 0.500 0.000 0.500

Computed properties:
formation energy from the elements	0.102	eV per atom
crystal system	orthorhombic
space-group type	Pbam, No. 55


[11]
This record from the Alexandria database describes an optimized crystal structure of LaPr2Ho6. The functional is PBE.

Cell lengths 7.446, 7.446, 7.681 Å; angles 61.01, 61.01, 60.00 degrees
Atoms (fractional coordinates):
La 0.316 0.316 0.051
Pr 0.755 0.755 0.734
Pr 0.579 0.579 0.264
Ho 0.786 0.258 0.697
Ho 0.259 0.786 0.697
Ho 0.258 0.259 0.697
Ho 0.049 0.613 0.288
Ho 0.050 0.049 0.288
Ho 0.613 0.050 0.288

Computed properties:
formation energy from the elements	0.305	eV per atom
crystal system	trigonal
space-group type	R3m, No. 160
distance to the lowest polymorph of the same formula	230	meV/atom


[12]
This record from the Alexandria database describes an optimized crystal structure of La16Pr6Ho7. The functional is PBE.

Cell lengths 11.407, 11.407, 11.407 Å; angles 60.00, 60.00, 60.00 degrees
Atoms (fractional coordinates):
La 0.879 0.879 0.362
La 0.879 0.879 0.879
La 0.879 0.362 0.879
La 0.362 0.879 0.879
La 0.121 0.121 0.121
La 0.121 0.121 0.638
La 0.121 0.638 0.121
La 0.638 0.121 0.121
La 0.655 0.655 0.035
La 0.655 0.655 0.655
La 0.655 0.035 0.655
La 0.035 0.655 0.655
La 0.345 0.345 0.345
La 0.345 0.345 0.965
La 0.345 0.965 0.345
La 0.965 0.345 0.345
Pr 0.299 0.701 0.299
Pr 0.701 0.299 0.701
Pr 0.701 0.299 0.299
Pr 0.299 0.701 0.701
Pr 0.701 0.701 0.299
Pr 0.299 0.299 0.701
Ho 0.000 0.000 0.000
Ho 0.500 0.000 0.500
Ho 0.000 0.500 0.000
Ho 0.000 0.500 0.500
Ho 0.500 0.000 0.000
Ho 0.000 0.000 0.500
Ho 0.500 0.500 0.000

Computed properties:
formation energy from the elements	0.177	eV per atom
crystal system	cubic
space-group type	Fm-3m, No. 225


[13]
This record from the Alexandria database describes an optimized crystal structure of LaPrHo5. The functional is PBE.

Cell lengths 6.804, 6.804, 13.911 Å; angles 61.03, 61.03, 61.03 degrees
Atoms (fractional coordinates):
La 0.724 0.276 0.750
La 0.276 0.724 0.250
Pr 0.000 0.000 0.000
Pr 0.000 0.000 0.500
Ho 0.172 0.395 0.745
Ho 0.634 0.703 0.501
Ho 0.395 0.172 0.245
Ho 0.159 0.841 0.750
Ho 0.297 0.366 0.999
Ho 0.703 0.634 0.001
Ho 0.841 0.159 0.250
Ho 0.605 0.828 0.755
Ho 0.366 0.297 0.499
Ho 0.828 0.605 0.255

Computed properties:
formation energy from the elements	0.197	eV per atom
crystal system	monoclinic
space-group type	C2/c, No. 15
distance to the lowest polymorph of the same formula	0	meV/atom


[14]
This record from the Alexandria database describes an optimized crystal structure of La2PrHo5. The functional is PBE.

Cell lengths 8.533, 20.415, 13.143 Å; angles 36.68, 60.53, 51.68 degrees
Atoms (fractional coordinates):
La 0.303 0.046 0.689
La 0.799 0.087 0.870
La 0.899 0.346 0.568
La 0.584 0.683 0.143
La 0.416 0.317 0.857
La 0.101 0.654 0.432
La 0.201 0.913 0.130
La 0.697 0.954 0.311
Pr 0.928 0.267 0.138
Pr 0.433 0.292 0.383
Pr 0.567 0.708 0.617
Pr 0.072 0.733 0.862
Ho 0.845 0.188 0.018
Ho 0.202 0.975 0.552
Ho 0.731 0.993 0.763
Ho 0.334 0.217 0.245
Ho 0.875 0.242 0.440
Ho 0.316 0.166 0.817
Ho 0.458 0.407 0.489
Ho 0.044 0.569 0.289
Ho 0.003 0.481 0.145
Ho 0.457 0.458 0.926
Ho 0.543 0.542 0.074
Ho 0.997 0.519 0.855
Ho 0.956 0.431 0.711
Ho 0.542 0.593 0.511
Ho 0.684 0.834 0.183
Ho 0.125 0.758 0.560
Ho 0.666 0.783 0.755
Ho 0.269 0.007 0.237
Ho 0.798 0.025 0.448
Ho 0.155 0.812 0.982

Computed properties:
formation energy from the elements	0.064	eV per atom
crystal system	triclinic
space-group type	P-1, No. 2
distance to the lowest polymorph of the same formula	35	meV/atom


[15]
This record from the Alexandria database describes an optimized crystal structure of La4Pr10Ho. The functional is PBE.

Cell lengths 8.048, 9.233, 9.233 Å; angles 79.05, 64.16, 64.16 degrees
Atoms (fractional coordinates):
La 0.227 0.999 0.547
La 0.774 0.453 0.999
La 0.226 0.547 0.001
La 0.773 0.001 0.453
Pr 0.250 0.500 0.500
Pr 0.711 0.210 0.789
Pr 0.078 0.211 0.210
Pr 0.500 0.789 0.790
Pr 0.711 0.790 0.211
Pr 0.289 0.790 0.211
Pr 0.750 0.500 0.500
Pr 0.289 0.210 0.789
Pr 0.500 0.211 0.210
Pr 0.922 0.789 0.790
Ho 0.000 0.000 0.000

Computed properties:
formation energy from the elements	0.204	eV per atom
crystal system	tetragonal
space-group type	I4/m, No. 87


[16]
This record from the Alexandria database describes an optimized crystal structure of LaPr9Ho2. The functional is PBE.

Cell lengths 5.210, 5.210, 15.663 Å; angles 90.00, 90.00, 90.00 degrees
Atoms (fractional coordinates):
La 0.000 0.000 0.000
Pr 0.500 0.500 0.000
Pr 0.500 0.500 0.336
Pr 0.500 0.500 0.664
Pr 0.500 0.000 0.170
Pr 0.500 0.000 0.500
Pr 0.500 0.000 0.830
Pr 0.000 0.500 0.170
Pr 0.000 0.500 0.500
Pr 0.000 0.500 0.830
Ho 0.000 0.000 0.335
Ho 0.000 0.000 0.665

Computed properties:
formation energy from the elements	0.016	eV per atom
crystal system	tetragonal
space-group type	P4/mmm, No. 123


[17]
This record from the Alexandria database describes an optimized crystal structure of LaPr2Ho7. The functional is PBE.

Cell lengths 6.203, 8.024, 8.008 Å; angles 89.86, 104.89, 121.11 degrees
Atoms (fractional coordinates):
La 0.000 0.000 0.000
Pr 0.499 0.700 0.600
Pr 0.501 0.300 0.400
Ho 0.999 0.799 0.400
Ho 0.001 0.201 0.600
Ho 0.001 0.599 0.801
Ho 0.999 0.401 0.199
Ho 0.500 0.899 0.199
Ho 0.500 0.101 0.801
Ho 0.500 0.500 0.000

Computed properties:
formation energy from the elements	0.022	eV per atom
crystal system	triclinic
space-group type	P-1, No. 2
distance to the lowest polymorph of the same formula	0	meV/atom